First-principles (PBE-GGA) data for crystalline Pa2NbS6 at its relaxed geometry, as listed in the Alexandria database.

Summary:
**Uncorrected formation energy**: -1431.4 meV per atom
**Density of states at the Fermi level**: 0.669 states/eV/atom
**E above lowest polymorph**: 0 meV per atom

Cell lengths 6.129, 7.115, 8.562 Å; angles 90.00, 88.87, 90.00 degrees
Last column: magnetic moment on the atom in μB.
Element x y z (fractional)
Pa1 0.044 0.629 0.755  0.08
Pa2 0.456 0.129 0.745  0.08
Pa3 0.544 0.871 0.255  0.08
Pa4 0.956 0.371 0.245  0.08
Nb1 0.500 0.500 0.000  0.13
Nb2 0.000 0.000 0.500  0.13
S1 0.150 0.039 0.232  0.00
S2 0.150 0.316 0.564  0.00
S3 0.156 0.323 0.938  0.00
S4 0.344 0.823 0.562  0.00
S5 0.350 0.816 0.936  0.00
S6 0.350 0.539 0.268  0.00
S7 0.850 0.961 0.768  0.00
S8 0.850 0.684 0.436  0.00
S9 0.844 0.677 0.062  0.00
S10 0.656 0.177 0.438  0.00
S11 0.650 0.184 0.064  0.00
S12 0.650 0.461 0.732  0.00